No. 1
Here is a relaxed structure of Hf7Be2N2 from Alexandria via LeMat-Bulk. Energies are from PBE. Values from VASP.

mass density: 11.56 Mg/m³
E: -0.32926 hartree per atom

Geometry as Quantum ESPRESSO input:
```
&SYSTEM
  ibrav = 0, nat = 11, ntyp = 3
/
ATOMIC_SPECIES
Hf 178.49 Hf.upf
Be 9.01 Be.upf
N 14.01 N.upf
ATOMIC_POSITIONS angstrom
Hf 0.000 0.000 0.000
Hf 3.251 1.497 1.361
Hf 4.560 0.000 4.130
Hf 7.397 1.497 4.062
Hf 3.251 -1.497 1.361
Hf 6.088 0.000 1.293
Hf 7.397 -1.497 4.062
Be 5.324 2.178 2.711
Be 5.324 -2.178 2.711
N 2.485 0.000 5.354
N 8.163 0.000 0.069
CELL_PARAMETERS angstrom
5.360 -3.202 0.000
5.360 3.202 0.000
-0.072 0.000 5.423
```



No. 2
Here is a relaxed structure of Hf6BeN3 from Alexandria via LeMat-Bulk. Energies are from PBE. Values from VASP.

mass density: 12.60 Mg/m³
E: -0.36420 hartree per atom

Geometry as Quantum ESPRESSO input:
```
&SYSTEM
  ibrav = 0, nat = 20, ntyp = 3
/
ATOMIC_SPECIES
Hf 178.49 Hf.upf
Be 9.01 Be.upf
N 14.01 N.upf
ATOMIC_POSITIONS angstrom
Hf -1.390 0.808 3.623
Hf -3.197 2.424 8.646
Hf 1.032 2.424 2.486
Hf -0.958 0.808 7.261
Hf 1.585 0.808 5.336
Hf 3.695 0.808 1.128
Hf 1.662 2.424 8.120
Hf 3.772 2.424 3.913
Hf 6.316 2.424 1.988
Hf 4.325 0.808 6.762
Hf 8.554 0.808 0.603
Hf 6.747 2.424 5.625
Be -0.410 2.424 5.306
Be 5.767 0.808 3.943
N -3.230 0.808 7.138
N -0.825 2.424 8.727
N 2.460 0.808 3.185
N 2.898 2.424 6.064
N 6.183 0.808 0.522
N 8.587 2.424 2.111
CELL_PARAMETERS angstrom
9.897 0.000 0.000
0.000 3.232 0.000
-4.540 0.000 9.249
```



No. 3
Here is a relaxed structure of HfBeN2 from Alexandria via LeMat-Bulk. Energies are from PBE. Values from VASP.

mass density: 7.89 Mg/m³
E: -0.32134 hartree per atom

Geometry as Quantum ESPRESSO input:
```
&SYSTEM
  ibrav = 0, nat = 8, ntyp = 3
/
ATOMIC_SPECIES
Hf 178.49 Hf.upf
Be 9.01 Be.upf
N 14.01 N.upf
ATOMIC_POSITIONS angstrom
Hf 0.000 0.000 0.000
Hf 0.000 2.214 2.313
Be 2.214 0.000 2.313
Be 0.000 0.000 4.625
N 1.107 -0.927 3.469
N 1.288 1.107 1.156
N 1.107 3.141 -1.156
N 0.927 1.107 5.782
CELL_PARAMETERS angstrom
-2.214 2.214 4.625
2.214 -2.214 4.625
2.214 2.214 -4.625
```



No. 4
Here is a relaxed structure of HfBeN2 from Alexandria via LeMat-Bulk. Energies are from PBE. Values from VASP.

mass density: 7.75 Mg/m³
E: -0.26402 hartree per atom

Geometry as Quantum ESPRESSO input:
```
&SYSTEM
  ibrav = 0, nat = 4, ntyp = 3
/
ATOMIC_SPECIES
Hf 178.49 Hf.upf
Be 9.01 Be.upf
N 14.01 N.upf
ATOMIC_POSITIONS angstrom
Hf 0.000 0.000 0.000
Be 0.000 0.000 8.446
N 0.000 0.000 1.997
N 0.000 0.000 14.894
CELL_PARAMETERS angstrom
1.538 0.888 5.630
-1.538 0.888 5.630
0.000 -1.776 5.630
```



DOS(E_F) for the records above, in order: 0.78 0.51 0.00 0.85 states/eV per atom